Record 1
Computed, not measured: an optimized crystal structure of CaTb4Pu3Se8 at the PBE level of DFT.

Calculated values
- Formation energy (no corrections): -39.77 kcal/mol of atoms
- Symmetry: R-3m, No. 166

Lattice parameters (Å, degrees): 8.2727 8.2727 8.2727 59.73 59.73 59.73
Fractional positions:
Ca  0.0000  0.0000  0.0000
Tb  0.0000  0.0000  0.5000
Tb  0.0000  0.5000  0.0000
Tb  0.5000  0.0000  0.0000
Tb  0.5000  0.5000  0.5000
Pu  0.0000  0.5000  0.5000
Pu  0.5000  0.0000  0.5000
Pu  0.5000  0.5000  0.0000
Se  0.2477  0.7492  0.7492
Se  0.2490  0.2490  0.2490
Se  0.2508  0.2508  0.7523
Se  0.2508  0.7523  0.2508
Se  0.7492  0.2477  0.7492
Se  0.7492  0.7492  0.2477
Se  0.7510  0.7510  0.7510
Se  0.7523  0.2508  0.2508

***

Record 2
Computed, not measured: an optimized crystal structure of DyTmTh2Sc5 at the PBE level of DFT.

Calculated values
- Calculated formation energy: 0.336 eV/atom
- Symmetry: P4/mbm, No. 127

Lattice parameters (Å, degrees): 8.4617 8.4617 7.2447 90.00 90.00 90.00
Fractional positions:
Dy  0.0000  0.0000  0.0000
Dy  0.5000  0.5000  0.0000
Tm  0.0000  0.5000  0.0000
Tm  0.5000  0.0000  0.0000
Th  0.1248  0.3752  0.5000
Th  0.3752  0.8752  0.5000
Th  0.6248  0.1248  0.5000
Th  0.8752  0.6248  0.5000
Sc  0.0000  0.0000  0.5000
Sc  0.2064  0.7064  0.2265
Sc  0.2064  0.7064  0.7735
Sc  0.2936  0.2064  0.2265
Sc  0.2936  0.2064  0.7735
Sc  0.5000  0.5000  0.5000
Sc  0.7064  0.7936  0.2265
Sc  0.7064  0.7936  0.7735
Sc  0.7936  0.2936  0.2265
Sc  0.7936  0.2936  0.7735

***

Record 3
Computed, not measured: an optimized crystal structure of LiTlCdIn2 at the PBE level of DFT.

Calculated values
- Calculated formation energy: 0.145 eV/atom
- Symmetry: P4/mmm, No. 123

Lattice parameters (Å, degrees): 5.1241 5.1241 5.1769 90.00 90.00 90.00
Fractional positions:
Li  0.0000  0.0000  0.0000
Tl  0.0000  0.0000  0.5000
Cd  0.5000  0.5000  0.5000
In  0.0000  0.5000  0.0000
In  0.5000  0.0000  0.0000

***

Record 4
Computed, not measured: an optimized crystal structure of CaAg2AsO4 at the PBE level of DFT.

Calculated values
- Formation energy (no corrections): -27.48 kcal/mol of atoms
- Symmetry: I-4, No. 82

Lattice parameters (Å, degrees): 6.1099 6.1099 6.1099 128.82 128.82 75.30
Fractional positions:
Ca  0.0000  0.0000  0.0000
Ag  0.2500  0.7500  0.5000
Ag  0.5000  0.5000  0.0000
As  0.7500  0.2500  0.5000
O  0.0283  0.5631  0.8801
O  0.4369  0.3170  0.4652
O  0.6830  0.1483  0.1199
O  0.8517  0.9717  0.5348

***

Across the entries above, DOS(E_F) takes the values 1.716, 1.424, 0.483, 0.068 states/eV per atom, respectively.